The following is a GGA-PBE calculation of a relaxed TbPm5Nd12 crystal, from Alexandria.

a b c (Å): 12.126 17.396 5.933
angles (deg): 90.00 90.01 90.00
Space group C2/m (No. 12)
Unique sites:
Tb (0.000, 0.000, 0.000) [2 per cell]
Pm (0.000, 0.136, 0.500) [4 per cell]
Pm (0.000, 0.363, 0.000) [4 per cell]
Pm (0.000, 0.500, 0.500) [2 per cell]
Nd (0.152, 0.179, 0.008) [8 per cell]
Nd (0.152, 0.321, 0.491) [8 per cell]
Nd (0.198, 0.000, 0.448) [4 per cell]
Nd (0.200, 0.500, 0.052) [4 per cell]

Calculated values
Final energy in eV per cell: -168.428